# 1
Compound: Ca2GaPt2
Source: Alexandria via LeMat-Bulk
Functional: PBEsol
Structure: relaxed

## Properties
Energy of formation from the pure elements in meV/atom: -946

Cell lengths 5.6136, 5.6136, 7.7442 Å; angles 100.94, 100.94, 59.99 degrees
With the nearest neighbours (Å) after each atom.
Fractional coordinates of all 10 atoms:
1 Ca 0.0125 0.2864 0.1495  6 Pt 3.00-3.06, 3 Ga 3.30-3.36
2 Ca 0.2864 0.0125 0.6495  6 Pt 3.00-3.06, 3 Ga 3.30-3.36
3 Ca 0.7136 0.9875 0.3505  6 Pt 3.00-3.06, 3 Ga 3.30-3.36
4 Ca 0.9875 0.7136 0.8505  6 Pt 3.00-3.06, 3 Ga 3.30-3.36
5 Ga 0.3697 0.6303 0.2500  4 Pt 2.52-2.56
6 Ga 0.6303 0.3697 0.7500  4 Pt 2.52-2.56
7 Pt 0.2354 0.5034 0.4972  2 Ga 2.52-2.56, 1 Pt 2.67
8 Pt 0.4966 0.7646 0.0028  2 Ga 2.52-2.56, 1 Pt 2.67
9 Pt 0.5034 0.2354 0.9972  2 Ga 2.52-2.56, 1 Pt 2.67
10 Pt 0.7646 0.4966 0.5028  2 Ga 2.52-2.56, 1 Pt 2.67

=====

# 2
Compound: KMg2Se
Source: Alexandria via LeMat-Bulk
Functional: PBEsol
Structure: relaxed

## Properties
Energy relative to the elements, uncorrected in eV/atom: -0.49

Cell lengths 3.6728, 3.6728, 7.8905 Å; angles 90.00, 90.00, 90.00 degrees
With the nearest neighbours (Å) after each atom.
Fractional coordinates of all 4 atoms:
1 K 0.0000 0.0000 0.0000  5 Mg 3.37-3.75, 4 Se 3.46, 4 K 3.67
2 Mg 0.0000 0.0000 0.5728  4 Se 2.81
3 Mg 0.5000 0.5000 0.3426  1 Se 2.89, 4 Mg 3.17
4 Se 0.5000 0.5000 0.7093  5 Mg 2.81-2.89

=====

# 3
Compound: MnMo6Se8
Source: Alexandria via LeMat-Bulk
Functional: PBEsol
Structure: relaxed

## Properties
Energy relative to the elements, uncorrected in eV/atom: -0.48

Cell lengths 6.6132, 6.6132, 6.6132 Å; angles 91.54, 91.54, 91.54 degrees
With the nearest neighbours (Å) after each atom.
Fractional coordinates of all 15 atoms:
1 Mn 0.0000 0.0000 0.0000  2 Se 2.45
2 Mo 0.2255 0.5503 0.4199  5 Se 2.52-2.64, 4 Mo 2.68-2.74
3 Mo 0.4199 0.2255 0.5503  5 Se 2.52-2.64, 4 Mo 2.68-2.74
4 Mo 0.4497 0.5801 0.7745  5 Se 2.52-2.64, 4 Mo 2.68-2.74
5 Mo 0.5503 0.4199 0.2255  5 Se 2.52-2.64, 4 Mo 2.68-2.74
6 Mo 0.5801 0.7745 0.4497  5 Se 2.52-2.64, 4 Mo 2.68-2.74
7 Mo 0.7745 0.4497 0.5801  5 Se 2.52-2.64, 4 Mo 2.68-2.74
8 Se 0.1270 0.3662 0.7502  4 Mo 2.53-2.64
9 Se 0.2201 0.2201 0.2201  1 Mn 2.45, 3 Mo 2.52
10 Se 0.2498 0.8730 0.6338  4 Mo 2.53-2.64
11 Se 0.3662 0.7502 0.1270  4 Mo 2.53-2.64
12 Se 0.6338 0.2498 0.8730  4 Mo 2.53-2.64
13 Se 0.7502 0.1270 0.3662  4 Mo 2.53-2.64
14 Se 0.7799 0.7799 0.7799  1 Mn 2.45, 3 Mo 2.52
15 Se 0.8730 0.6338 0.2498  4 Mo 2.53-2.64

=====

# 4
Compound: HgPd3
Source: Alexandria via LeMat-Bulk
Functional: PBEsol
Structure: relaxed

## Properties
Energy of formation from the pure elements in meV/atom: -140

Cell lengths 3.9706, 3.9706, 3.9706 Å; angles 90.00, 90.00, 90.00 degrees
With the nearest neighbours (Å) after each atom.
Fractional coordinates of all 4 atoms:
1 Hg 0.0000 0.0000 0.0000  12 Pd 2.81
2 Pd 0.0000 0.5000 0.5000  8 Pd 2.81, 4 Hg 2.81
3 Pd 0.5000 0.0000 0.5000  8 Pd 2.81, 4 Hg 2.81
4 Pd 0.5000 0.5000 0.0000  8 Pd 2.81, 4 Hg 2.81

=====

# 5
Compound: LiIn2Rh
Source: Alexandria via LeMat-Bulk
Functional: PBEsol
Structure: relaxed

## Properties
Energy of formation from the pure elements in meV/atom: -165
Polymorph energy (0 for the lowest one) in eV/atom: 0.277

Cell lengths 4.5809, 4.5809, 4.5809 Å; angles 60.00, 60.00, 60.00 degrees
With the nearest neighbours (Å) after each atom.
Fractional coordinates of all 4 atoms:
1 Li 0.0000 0.0000 0.0000  4 Rh 2.81, 4 In 2.81
2 In 0.5000 0.5000 0.5000  4 In 2.81, 4 Rh 2.81
3 In 0.7500 0.7500 0.7500  4 Li 2.81, 4 In 2.81
4 Rh 0.2500 0.2500 0.2500  4 In 2.81, 4 Li 2.81

=====

# 6
Compound: MgHg2Pb
Source: Alexandria via LeMat-Bulk
Functional: PBEsol
Structure: relaxed

## Properties
Energy of formation from the pure elements in meV/atom: -86

Cell lengths 5.9608, 5.9608, 5.9608 Å; angles 145.47, 126.02, 65.67 degrees
With the nearest neighbours (Å) after each atom.
Fractional coordinates of all 4 atoms:
1 Mg 0.0000 0.0000 0.0000  4 Hg 2.91, 4 Pb 3.23
2 Hg 0.2303 0.7303 0.5000  2 Mg 2.91, 2 Pb 3.23
3 Hg 0.7697 0.2697 0.5000  2 Mg 2.91, 2 Pb 3.23
4 Pb 0.5000 0.5000 0.0000  8 Hg 3.23-3.55, 4 Mg 3.23, 2 Pb 3.54

=====

# 7
Compound: ReW5
Source: Alexandria via LeMat-Bulk
Functional: PBEsol
Structure: relaxed

## Properties
Energy of formation from the pure elements in meV/atom: 34

Cell lengths 6.8460, 6.8460, 4.4434 Å; angles 90.00, 90.00, 153.49 degrees
With the nearest neighbours (Å) after each atom.
Fractional coordinates of all 6 atoms:
1 Re 0.0000 0.0000 0.0000  8 W 2.72
2 W 0.1657 0.8343 0.5000  8 W 2.71-2.74
3 W 0.3333 0.6667 0.0000  2 Re 2.72, 6 W 2.72
4 W 0.5000 0.5000 0.5000  4 W 2.71, 4 Re 2.72
5 W 0.6667 0.3333 0.0000  2 Re 2.72, 6 W 2.72
6 W 0.8343 0.1657 0.5000  8 W 2.71-2.74

=====

# 8
Compound: YHfC3
Source: Alexandria via LeMat-Bulk
Functional: PBEsol
Structure: relaxed

## Properties
Energy of formation from the pure elements in meV/atom: 2046

Cell lengths 4.1780, 4.1780, 4.1780 Å; angles 90.00, 90.00, 90.00 degrees
With the nearest neighbours (Å) after each atom.
Fractional coordinates of all 5 atoms:
1 Y 0.0000 0.0000 0.0000  6 C 2.09
2 Hf 0.5000 0.5000 0.5000  12 C 2.95
3 C 0.0000 0.0000 0.5000  2 Y 2.09
4 C 0.0000 0.5000 0.0000  2 Y 2.09
5 C 0.5000 0.0000 0.0000  2 Y 2.09

=====

How do the records compare in total magnetization? In the order shown, they have 0.0; 0.0; 4.3; 0.0; 0.0; 0.0; 0.0; 0.0 μB per cell.